Entry 1:
A geometry-optimized La3AuO structure. Source: Alexandria via LeMat-Bulk, functional GGA-PBE.

Structure (CIF):
```
data_La3AuO
_chemical_formula_sum 'La6 Au2 O2'
_symmetry_space_group_name_H-M 'P 63/m m c'
_symmetry_Int_Tables_number 194
_symmetry_space_group_name_Hall '-P 6c 2c'
_cell_length_a 4.1294
_cell_length_b 4.1294
_cell_length_c 19.3597
_cell_angle_alpha 90.00
_cell_angle_beta 90.00
_cell_angle_gamma 120.00
loop_
_atom_site_label
_atom_site_type_symbol
_atom_site_fract_x
_atom_site_fract_y
_atom_site_fract_z
La1 La 0.0000 0.0000 0.2500
La2 La 0.3333 0.6667 0.1011
Au1 Au 0.0000 0.0000 0.0000
O1 O 0.3333 0.6667 0.2500
```

Results
Raw total energy (eV per atom): -5.96
Spin magnetization (μB/cell): 0.00
Relative energy among the computed polymorphs (meV per atom): 106.6
Raw formation energy (kcal/mol of atoms): -31.22

***

Entry 2:
A geometry-optimized Na6BrF5 structure. Source: Alexandria via LeMat-Bulk, functional GGA-PBE.

Structure (CIF):
```
data_Na6BrF5
_chemical_formula_sum 'Na12 Br2 F10'
_symmetry_space_group_name_H-M 'C 1 2/m 1'
_symmetry_Int_Tables_number 12
_cell_length_a 6.128
_cell_length_b 10.612
_cell_length_c 6.066
_cell_angle_alpha 90.00
_cell_angle_beta 110.18
_cell_angle_gamma 90.00
loop_
_symmetry_equiv_pos_as_xyz
'x,y,z'
'-x,-y,-z'
'-x,y,-z'
'x,-y,z'
'x+1/2,y+1/2,z'
'-x+1/2,-y+1/2,-z'
'-x+1/2,y+1/2,-z'
'x+1/2,-y+1/2,z'
loop_
_atom_site_label
_atom_site_type_symbol
_atom_site_fract_x
_atom_site_fract_y
_atom_site_fract_z
Na1 Na 0.222 0.188 0.247
Na2 Na 0.228 0.000 0.781
Br1 Br 0.000 0.500 0.500
F1 F 0.000 0.000 0.000
F2 F 0.000 0.168 0.500
F3 F 0.000 0.332 0.000
```

Results
Raw total energy (eV per atom): -4.03
Spin magnetization (μB/cell): 0.01
Raw formation energy (kcal/mol of atoms): -56.63

***

Entry 3:
A geometry-optimized LiAcRhO3 structure. Source: Alexandria via LeMat-Bulk, functional GGA-PBE.

Structure (CIF):
```
data_LiAcRhO3
_chemical_formula_sum 'Li4 Ac4 Rh4 O12'
_symmetry_space_group_name_H-M 'C m c m'
_symmetry_Int_Tables_number 63
_symmetry_space_group_name_Hall '-C 2c 2'
_cell_length_a 5.479
_cell_length_b 11.225
_cell_length_c 5.299
_cell_angle_alpha 90.00
_cell_angle_beta 90.00
_cell_angle_gamma 90.00
loop_
_atom_site_label
_atom_site_type_symbol
_atom_site_fract_x
_atom_site_fract_y
_atom_site_fract_z
Li1 Li 0.000 0.071 0.250
Ac1 Ac 0.000 0.196 0.750
Rh1 Rh 0.000 0.491 0.750
O1 O 0.000 0.238 0.250
O2 O 0.224 0.000 0.000
```

Results
Raw total energy (eV per atom): -6.53
Spin magnetization (μB/cell): 0.93
Raw formation energy (kcal/mol of atoms): -41.91

***

Entry 4:
A geometry-optimized Zr2InCu structure. Source: Alexandria via LeMat-Bulk, functional GGA-PBE.

Structure (CIF):
```
data_Zr2InCu
_chemical_formula_sum 'Zr6 In3 Cu3'
_symmetry_space_group_name_H-M 'R -3 m'
_symmetry_Int_Tables_number 166
_symmetry_space_group_name_Hall '-R 3 2"'
_cell_length_a 3.1755
_cell_length_b 3.1755
_cell_length_c 28.6658
_cell_angle_alpha 90.00
_cell_angle_beta 90.00
_cell_angle_gamma 120.00
loop_
_atom_site_label
_atom_site_type_symbol
_atom_site_fract_x
_atom_site_fract_y
_atom_site_fract_z
Zr1 Zr 0.0000 0.0000 0.2413
In1 In 0.0000 0.0000 0.0000
Cu1 Cu 0.0000 0.0000 0.5000
```

Results
Raw total energy (eV per atom): -5.96
Spin magnetization (μB/cell): 0.00
Calculated formation energy (eV/f.u.): 0.1

***

Entry 5:
A geometry-optimized K2AcPrTe4 structure. Source: Alexandria via LeMat-Bulk, functional GGA-PBE.

Structure (CIF):
```
data_K2AcPrTe4
_chemical_formula_sum 'K2 Ac1 Pr1 Te4'
_symmetry_space_group_name_H-M 'P 1 2/m 1'
_symmetry_Int_Tables_number 10
_cell_length_a 8.230
_cell_length_b 4.749
_cell_length_c 8.707
_cell_angle_alpha 90.00
_cell_angle_beta 108.26
_cell_angle_gamma 90.00
loop_
_symmetry_equiv_pos_as_xyz
'x,y,z'
'-x,-y,-z'
'-x,y,-z'
'x,-y,z'
loop_
_atom_site_label
_atom_site_type_symbol
_atom_site_fract_x
_atom_site_fract_y
_atom_site_fract_z
K1 K 0.000 0.000 0.000
K2 K 0.500 0.500 0.000
Ac1 Ac 0.000 0.500 0.500
Pr1 Pr 0.500 0.000 0.500
Te1 Te 0.249 0.000 0.722
Te2 Te 0.269 0.500 0.283
```

Results
Raw total energy (eV per atom): -4.41
Spin magnetization (μB/cell): 0.00
Raw formation energy (kcal/mol of atoms): -33.54

***

Entry 6:
A geometry-optimized Ac5La6Mg structure. Source: Alexandria via LeMat-Bulk, functional GGA-PBE.

Structure (CIF):
```
data_Ac5La6Mg
_chemical_formula_sum 'Ac10 La12 Mg2'
_symmetry_space_group_name_H-M 'C 1 2/m 1'
_symmetry_Int_Tables_number 12
_cell_length_a 18.668
_cell_length_b 7.627
_cell_length_c 6.578
_cell_angle_alpha 90.00
_cell_angle_beta 90.33
_cell_angle_gamma 90.00
loop_
_symmetry_equiv_pos_as_xyz
'x,y,z'
'-x,-y,-z'
'-x,y,-z'
'x,-y,z'
'x+1/2,y+1/2,z'
'-x+1/2,-y+1/2,-z'
'-x+1/2,y+1/2,-z'
'x+1/2,-y+1/2,z'
loop_
_atom_site_label
_atom_site_type_symbol
_atom_site_fract_x
_atom_site_fract_y
_atom_site_fract_z
Ac1 Ac 0.000 0.000 0.000
Ac2 Ac 0.166 0.500 0.675
Ac3 Ac 0.168 0.000 0.660
La1 La 0.000 0.255 0.500
La2 La 0.165 0.254 0.167
Mg1 Mg 0.000 0.500 0.000
```

Results
Raw total energy (eV per atom): -4.29
Spin magnetization (μB/cell): 0.00
Calculated formation energy (eV/f.u.): 0.2

***

Entry 7:
A geometry-optimized TlHgHCl2 structure. Source: Alexandria via LeMat-Bulk, functional GGA-PBE.

Structure (CIF):
```
data_TlHgHCl2
_chemical_formula_sum 'Tl1 Hg1 H1 Cl2'
_symmetry_space_group_name_H-M 'P 4/m m m'
_symmetry_Int_Tables_number 123
_symmetry_space_group_name_Hall '-P 4 2'
_cell_length_a 5.686
_cell_length_b 5.686
_cell_length_c 3.703
_cell_angle_alpha 90.00
_cell_angle_beta 90.00
_cell_angle_gamma 90.00
loop_
_atom_site_label
_atom_site_type_symbol
_atom_site_fract_x
_atom_site_fract_y
_atom_site_fract_z
Tl1 Tl 0.000 0.000 0.000
Hg1 Hg 0.500 0.500 0.500
H1 H 0.500 0.500 0.000
Cl1 Cl 0.000 0.500 0.500
```

Results
Raw total energy (eV per atom): -2.40
Spin magnetization (μB/cell): 0.00

***

Entry 8:
A geometry-optimized ZrFe2Tc structure. Source: Alexandria via LeMat-Bulk, functional GGA-PBE.

Structure (CIF):
```
data_ZrFe2Tc
_chemical_formula_sum 'Zr1 Fe2 Tc1'
_symmetry_space_group_name_H-M 'P 1 2/m 1'
_symmetry_Int_Tables_number 10
_cell_length_a 2.752
_cell_length_b 4.153
_cell_length_c 5.379
_cell_angle_alpha 90.00
_cell_angle_beta 104.28
_cell_angle_gamma 90.00
loop_
_symmetry_equiv_pos_as_xyz
'x,y,z'
'-x,-y,-z'
'-x,y,-z'
'x,-y,z'
loop_
_atom_site_label
_atom_site_type_symbol
_atom_site_fract_x
_atom_site_fract_y
_atom_site_fract_z
Zr1 Zr 0.000 0.000 0.000
Fe1 Fe 0.253 0.500 0.718
Tc1 Tc 0.500 0.000 0.500
```

Results
Raw total energy (eV per atom): -8.87
Spin magnetization (μB/cell): 4.11
Calculated formation energy (eV/f.u.): 0.3
Relative energy among the computed polymorphs (meV per atom): 78.0

***

Entry 9:
A geometry-optimized Tb4PrAl2 structure. Source: Alexandria via LeMat-Bulk, functional GGA-PBE.

Structure (CIF):
```
data_Tb4PrAl2
_chemical_formula_sum 'Tb8 Pr2 Al4'
_symmetry_space_group_name_H-M 'I 4/m m m'
_symmetry_Int_Tables_number 139
_symmetry_space_group_name_Hall '-I 4 2'
_cell_length_a 5.705
_cell_length_b 5.705
_cell_length_c 12.724
_cell_angle_alpha 90.00
_cell_angle_beta 90.00
_cell_angle_gamma 90.00
loop_
_atom_site_label
_atom_site_type_symbol
_atom_site_fract_x
_atom_site_fract_y
_atom_site_fract_z
Tb1 Tb 0.000 0.500 0.000
Tb2 Tb 0.000 0.500 0.250
Pr1 Pr 0.000 0.000 0.000
Al1 Al 0.000 0.000 0.386
```

Results
Raw total energy (eV per atom): -4.14
Spin magnetization (μB/cell): 0.00
Calculated formation energy (eV/f.u.): 1.8
Relative energy among the computed polymorphs (meV per atom): 449.9

***

Entry 10:
A geometry-optimized NaRh2Se structure. Source: Alexandria via LeMat-Bulk, functional GGA-PBE.

Structure (CIF):
```
data_NaRh2Se
_chemical_formula_sum 'Na4 Rh8 Se4'
_symmetry_space_group_name_H-M 'I -4 2 d'
_symmetry_Int_Tables_number 122
_symmetry_space_group_name_Hall 'I -4 2bw'
_cell_length_a 7.415
_cell_length_b 7.415
_cell_length_c 5.677
_cell_angle_alpha 90.00
_cell_angle_beta 90.00
_cell_angle_gamma 90.00
loop_
_atom_site_label
_atom_site_type_symbol
_atom_site_fract_x
_atom_site_fract_y
_atom_site_fract_z
Na1 Na 0.000 0.000 0.000
Rh1 Rh 0.164 0.750 0.625
Se1 Se 0.000 0.000 0.500
```

Results
Raw total energy (eV per atom): -4.77
Spin magnetization (μB/cell): 0.00
Raw formation energy (kcal/mol of atoms): 2.51

***

Entry 11:
A geometry-optimized SmZr2N structure. Source: Alexandria via LeMat-Bulk, functional GGA-PBE.

Structure (CIF):
```
data_SmZr2N
_chemical_formula_sum 'Sm3 Zr6 N3'
_symmetry_space_group_name_H-M 'R -3 m'
_symmetry_Int_Tables_number 166
_symmetry_space_group_name_Hall '-R 3 2"'
_cell_length_a 3.3074
_cell_length_b 3.3074
_cell_length_c 26.6139
_cell_angle_alpha 90.00
_cell_angle_beta 90.00
_cell_angle_gamma 120.00
loop_
_atom_site_label
_atom_site_type_symbol
_atom_site_fract_x
_atom_site_fract_y
_atom_site_fract_z
Sm1 Sm 0.0000 0.0000 0.0000
Zr1 Zr 0.0000 0.0000 0.1205
N1 N 0.0000 0.0000 0.5000
```

Results
Raw total energy (eV per atom): -8.19
Spin magnetization (μB/cell): 0.00
Raw formation energy (kcal/mol of atoms): -15.00